Crystalline BaCoTc2O8 at its relaxed geometry. Source: Alexandria via LeMat-Bulk, functional PBE with a Hubbard U.

Geometry as POSCAR:
```
BaCoTc2O8
1.0
-2.2794 5.0459 -0.8841
0.3623 -2.0386 5.2107
6.6272 3.1274 0.7628
O Tc Co Ba
8 2 1 1
direct
0.6790 0.7700 0.6745
0.3210 0.2300 0.3255
0.6667 0.3333 0.0179
0.0909 0.3210 0.6745
0.7700 0.0909 0.3255
0.3333 0.6667 0.9821
0.9091 0.6790 0.3255
0.2300 0.9091 0.6745
0.6667 0.3333 0.2599
0.3333 0.6667 0.7401
0.0000 0.0000 0.5000
0.0000 0.0000 0.0000
```

- calculated total energy (eV per atom) = -7.213
- space-group type = No. 147
- mass density (g/cm3) = 4.31
- total magnetization (μB per atom) = 0.0828



Crystalline Ba2CoTcO6 at its relaxed geometry. Source: Alexandria via LeMat-Bulk, functional PBE with a Hubbard U.

Geometry as POSCAR:
```
Ba2CoTcO6
1.0
-5.0782 2.4276 1.5073
-2.3800 -1.2024 5.1810
2.1573 7.7407 6.0641
Ba O Co Tc
4 12 2 2
direct
0.2844 0.2844 0.1468
0.7156 0.7156 0.8532
0.8724 0.8724 0.3828
0.1276 0.1276 0.6172
0.7220 0.1980 0.8819
0.6130 0.1502 0.6238
0.6130 0.6130 0.6238
0.2780 0.8020 0.1181
0.1980 0.1980 0.8819
0.8020 0.8020 0.1181
0.3870 0.3870 0.3762
0.1980 0.7220 0.8819
0.1502 0.6130 0.6238
0.8020 0.2780 0.1181
0.8498 0.3870 0.3762
0.3870 0.8498 0.3762
0.4055 0.4055 0.7835
0.5945 0.5945 0.2165
0.5000 0.5000 0.5000
0.0000 0.0000 0.0000
```

- calculated total energy (eV per atom) = -6.828
- space-group type = No. 166
- mass density (g/cm3) = 6.28
- total magnetization (μB per atom) = 0.1983